1.
AcThZnSn: optimized geometry, PBE.

Values from the calculation:
- Formation energy from the elements: -0.2945 eV per atom
- Density: 9.0 g cm⁻³

The structure in CIF format:
```
data_AcThZnSn
_chemical_formula_sum 'Ac4 Th4 Zn4 Sn4'
_space_group_name_H-M_alt 'F -4 3 m'
_space_group_IT_number 216
_space_group_name_Hall 'F -4 2 3'
_cell_length_a 7.7981
_cell_length_b 7.7981
_cell_length_c 7.7981
_cell_angle_alpha 90.00
_cell_angle_beta 90.00
_cell_angle_gamma 90.00
loop_
_atom_site_label
_atom_site_type_symbol
_atom_site_fract_x
_atom_site_fract_y
_atom_site_fract_z
_atom_site_occupancy
Ac1 Ac 0.0000 0.0000 0.0000 1
Th1 Th 0.0000 0.0000 0.5000 1
Zn1 Zn 0.2500 0.2500 0.2500 1
Sn1 Sn 0.2500 0.2500 0.7500 1
```

2.
AcTiSn2: optimized geometry, PBE.

Values from the calculation:
- Formation energy from the elements: 0.1675 eV per atom
- Density: 7.3 g cm⁻³

The structure in CIF format:
```
data_AcTiSn2
_chemical_formula_sum 'Ac3 Ti3 Sn6'
_space_group_name_H-M_alt 'R -3 m'
_space_group_IT_number 166
_space_group_name_Hall '-R 3 2"'
_cell_length_a 3.4510
_cell_length_b 3.4510
_cell_length_c 33.8144
_cell_angle_alpha 90.00
_cell_angle_beta 90.00
_cell_angle_gamma 120.00
loop_
_atom_site_label
_atom_site_type_symbol
_atom_site_fract_x
_atom_site_fract_y
_atom_site_fract_z
_atom_site_occupancy
Ac1 Ac 0.0000 0.0000 0.0000 1
Ti1 Ti 0.0000 0.0000 0.5000 1
Sn1 Sn 0.0000 0.0000 0.1006 1
```

3.
AcTiSn2: optimized geometry, PBE.

Values from the calculation:
- Formation energy from the elements: -0.3213 eV per atom
- Density: 8.0 g cm⁻³

The structure in CIF format:
```
data_AcTiSn2
_chemical_formula_sum 'Ac1 Ti1 Sn2'
_space_group_name_H-M_alt 'P 4/m m m'
_space_group_IT_number 123
_space_group_name_Hall '-P 4 2'
_cell_length_a 3.7796
_cell_length_b 3.7796
_cell_length_c 7.4085
_cell_angle_alpha 90.00
_cell_angle_beta 90.00
_cell_angle_gamma 90.00
loop_
_atom_site_label
_atom_site_type_symbol
_atom_site_fract_x
_atom_site_fract_y
_atom_site_fract_z
_atom_site_occupancy
Ac1 Ac 0.0000 0.0000 0.0000 1
Ti1 Ti 0.0000 0.0000 0.5000 1
Sn1 Sn 0.5000 0.5000 0.3034 1
```

4.
Ac2TiSn: optimized geometry, PBE.

Values from the calculation:
- Formation energy from the elements: 0.4259 eV per atom
- Density: 7.7 g cm⁻³

The structure in CIF format:
```
data_Ac2TiSn
_chemical_formula_sum 'Ac6 Ti3 Sn3'
_space_group_name_H-M_alt 'R -3 m'
_space_group_IT_number 166
_space_group_name_Hall '-R 3 2"'
_cell_length_a 3.5800
_cell_length_b 3.5800
_cell_length_c 36.2169
_cell_angle_alpha 90.00
_cell_angle_beta 90.00
_cell_angle_gamma 120.00
loop_
_atom_site_label
_atom_site_type_symbol
_atom_site_fract_x
_atom_site_fract_y
_atom_site_fract_z
_atom_site_occupancy
Ac1 Ac 0.0000 0.0000 0.0879 1
Ti1 Ti 0.0000 0.0000 0.0000 1
Sn1 Sn 0.0000 0.0000 0.5000 1
```

5.
Ac2TlSn: optimized geometry, PBE.

Values from the calculation:
- Formation energy from the elements: -0.5536 eV per atom
- Density: 8.9 g cm⁻³

The structure in CIF format:
```
data_Ac2TlSn
_chemical_formula_sum 'Ac4 Tl2 Sn2'
_space_group_name_H-M_alt 'P 1 21/m 1'
_space_group_IT_number 11
_cell_length_a 6.7313
_cell_length_b 4.6583
_cell_length_c 9.7447
_cell_angle_alpha 90.00
_cell_angle_beta 108.08
_cell_angle_gamma 90.00
loop_
_space_group_symop_operation_xyz
'x,y,z'
'-x,-y,-z'
'-x,y+1/2,-z'
'x,-y+1/2,z'
loop_
_atom_site_label
_atom_site_type_symbol
_atom_site_fract_x
_atom_site_fract_y
_atom_site_fract_z
_atom_site_occupancy
Ac1 Ac 0.2029 0.2500 0.4281 1
Ac2 Ac 0.2886 0.7500 0.0673 1
Tl1 Tl 0.3763 0.7500 0.7070 1
Sn1 Sn 0.1317 0.2500 0.7905 1
```

6.
Ac4Tl3Sn: optimized geometry, PBE.

Values from the calculation:
- Formation energy from the elements: -0.4490 eV per atom
- Density: 9.3 g cm⁻³

The structure in CIF format:
```
data_Ac4Tl3Sn
_chemical_formula_sum 'Ac4 Tl3 Sn1'
_space_group_name_H-M_alt 'P m m 2'
_space_group_IT_number 25
_cell_length_a 4.6839
_cell_length_b 5.0037
_cell_length_c 12.5140
_cell_angle_alpha 90.00
_cell_angle_beta 90.00
_cell_angle_gamma 90.00
loop_
_space_group_symop_operation_xyz
'x,y,z'
'-x,-y,z'
'-x,y,z'
'x,-y,z'
loop_
_atom_site_label
_atom_site_type_symbol
_atom_site_fract_x
_atom_site_fract_y
_atom_site_fract_z
_atom_site_occupancy
Ac1 Ac 0.0000 0.0000 0.0000 1
Ac2 Ac 0.0000 0.5000 0.4989 1
Ac3 Ac 0.5000 0.0000 0.2751 1
Ac4 Ac 0.5000 0.5000 0.7744 1
Tl1 Tl 0.0000 0.0000 0.7197 1
Tl2 Tl 0.0000 0.5000 0.2205 1
Tl3 Tl 0.5000 0.5000 0.0535 1
Sn1 Sn 0.5000 0.0000 0.5567 1
```

7.
Ac6Tl2Sn: optimized geometry, PBE.

Values from the calculation:
- Formation energy from the elements: -0.2388 eV per atom
- Density: 8.7 g cm⁻³

The structure in CIF format:
```
data_Ac6Tl2Sn
_chemical_formula_sum 'Ac12 Tl4 Sn2'
_space_group_name_H-M_alt 'P 1 21/c 1'
_space_group_IT_number 14
_cell_length_a 6.8266
_cell_length_b 9.7296
_cell_length_c 12.4802
_cell_angle_alpha 90.00
_cell_angle_beta 119.71
_cell_angle_gamma 90.00
loop_
_space_group_symop_operation_xyz
'x,y,z'
'-x,-y,-z'
'-x,y+1/2,-z+1/2'
'x,-y+1/2,z+1/2'
loop_
_atom_site_label
_atom_site_type_symbol
_atom_site_fract_x
_atom_site_fract_y
_atom_site_fract_z
_atom_site_occupancy
Ac1 Ac 0.0493 0.1686 0.4378 1
Ac2 Ac 0.3458 0.6780 0.4398 1
Ac3 Ac 0.4057 0.0370 0.2874 1
Tl1 Tl 0.1752 0.1256 0.7522 1
Sn1 Sn 0.0000 0.0000 0.0000 1
```

8.
Ac2TlSn4: optimized geometry, PBE.

Values from the calculation:
- Formation energy from the elements: -0.4387 eV per atom
- Density: 8.2 g cm⁻³

The structure in CIF format:
```
data_Ac2TlSn4
_chemical_formula_sum 'Ac4 Tl2 Sn8'
_space_group_name_H-M_alt 'C m m m'
_space_group_IT_number 65
_space_group_name_Hall '-C 2 2'
_cell_length_a 9.5628
_cell_length_b 10.2936
_cell_length_c 4.6715
_cell_angle_alpha 90.00
_cell_angle_beta 90.00
_cell_angle_gamma 90.00
loop_
_atom_site_label
_atom_site_type_symbol
_atom_site_fract_x
_atom_site_fract_y
_atom_site_fract_z
_atom_site_occupancy
Ac1 Ac 0.2343 0.0000 0.0000 1
Tl1 Tl 0.0000 0.5000 0.5000 1
Sn1 Sn 0.0000 0.2518 0.0000 1
Sn2 Sn 0.2500 0.2500 0.5000 1
```